(1)
## Sm6DyTh (PBE)

Data for crystalline Sm6DyTh at its relaxed geometry.

Results
DFT formation energy: 201 meV per atom
size of the total moment: 0.000 μB per cell
E above lowest polymorph: 127 kJ/mol of formula units
E: -38.73 eV for the cell shown

a b c (Å): 6.6937 6.6599 6.8570
angles (deg): 89.81 60.69 88.10
Positions (direct):
1 Th 0.0000 0.0000 0.0000
2 Dy 0.0000 0.5000 0.0000
3 Sm 0.5750 0.7514 0.4996
4 Sm 0.4679 0.2444 0.0024
5 Sm 0.5321 0.7556 0.9976
6 Sm 0.4250 0.2486 0.5004
7 Sm 0.9226 0.2518 0.5031
8 Sm 0.0774 0.7482 0.4969

---

(2)
## Sm2Dy15Th2 (PBE)

Data for crystalline Sm2Dy15Th2 at its relaxed geometry.

Results
DFT formation energy: 286 meV per atom
size of the total moment: 0.000 μB per cell
E: -87.88 eV for the cell shown

a b c (Å): 8.7399 8.7399 8.7399
angles (deg): 79.14 79.14 79.14
Positions (direct):
1 Th 0.9126 0.9126 0.9126
2 Th 0.0874 0.0874 0.0874
3 Dy 0.3687 0.3687 0.8532
4 Dy 0.6313 0.6313 0.1468
5 Dy 0.0000 0.2990 0.7010
6 Dy 0.7010 0.2990 0.0000
7 Dy 0.6313 0.1468 0.6313
8 Dy 0.0000 0.7010 0.2990
9 Dy 0.1468 0.6313 0.6313
10 Dy 0.8532 0.3687 0.3687
11 Dy 0.0000 0.0000 0.5000
12 Dy 0.2990 0.7010 0.0000
13 Dy 0.0000 0.5000 0.0000
14 Dy 0.3687 0.8532 0.3687
15 Dy 0.7010 0.0000 0.2990
16 Dy 0.5000 0.0000 0.0000
17 Dy 0.2990 0.0000 0.7010
18 Sm 0.3203 0.3203 0.3203
19 Sm 0.6797 0.6797 0.6797

---

(3)
## Sm4Dy5Th4 (PBE)

Data for crystalline Sm4Dy5Th4 at its relaxed geometry.

Results
DFT formation energy: 35 meV per atom
size of the total moment: 0.000 μB per cell
E: -71.11 eV for the cell shown

a b c (Å): 5.0621 9.4852 9.4852
angles (deg): 85.92 74.52 74.52
Positions (direct):
1 Th 0.0755 0.5366 0.3125
2 Th 0.6121 0.3125 0.4634
3 Th 0.3879 0.6875 0.5366
4 Th 0.9245 0.4634 0.6875
5 Dy 0.0000 0.0000 0.0000
6 Dy 0.4619 0.2331 0.8432
7 Dy 0.3050 0.1568 0.2331
8 Dy 0.5381 0.7669 0.1568
9 Dy 0.6950 0.8432 0.7669
10 Sm 0.2329 0.6148 0.9194
11 Sm 0.7671 0.3852 0.0806
12 Sm 0.1523 0.0806 0.6148
13 Sm 0.8477 0.9194 0.3852

---

(4)
## Sm5Dy4Th (PBE)

Data for crystalline Sm5Dy4Th at its relaxed geometry.

Results
DFT formation energy: 41 meV per atom
size of the total moment: 0.000 μB per cell
E above lowest polymorph: 0 kJ/mol of formula units
E: -49.02 eV for the cell shown

a b c (Å): 3.5454 11.5104 12.0490
angles (deg): 136.80 98.46 90.00
Positions (direct):
1 Sm 0.8097 0.2012 0.6193
2 Sm 0.2032 0.2947 0.4065
3 Sm 0.5000 0.5000 0.0000
4 Sm 0.1903 0.7988 0.3807
5 Sm 0.7968 0.7053 0.5935
6 Dy 0.3947 0.0880 0.7895
7 Dy 0.0829 0.3690 0.1658
8 Dy 0.6053 0.9120 0.2105
9 Dy 0.9171 0.6310 0.8342
10 Th 0.5000 0.0000 0.0000

---

Q: Number 1 is which compound?
A: Sm6DyTh